(1)
Below is a relaxed structure of CeAl2Pb, with properties calculated at the PBE level.

The total energy is -18.2 eV for the cell shown. The value obtained for the formation energy is -26.59 kJ per mole of atoms.

It has space group P4/mmm (No. 123), with a = 4.557 Å, b = 4.557 Å, c = 4.496 Å, α = 90.00°, β = 90.00° and γ = 90.00°. Symmetry generates all atoms from Ce at (0.000, 0.000, 0.000), Al at (0.000, 0.500, 0.500) and Pb at (0.500, 0.500, 0.000).

=====

(2)
Below is a relaxed structure of CeAlPb, with properties calculated at the PBE level.

The total energy is -110.0 eV for the cell shown. The value obtained for the formation energy is -11.82 kJ per mole of atoms.

It has space group Fmmm (No. 69), with a = 6.323 Å, b = 6.950 Å, c = 15.838 Å, α = 90.00°, β = 90.00° and γ = 90.00°. Symmetry generates all atoms from Ce at (0.000, 0.000, 0.139), Al at (0.000, 0.195, 0.500) and Pb at (0.000, 0.000, 0.340).

=====

(3)
Below is a relaxed structure of CeAlPb, with properties calculated at the PBE level.

The total energy is -26.1 eV for the cell shown. The value obtained for the formation energy is 10.80 kJ per mole of atoms.

It has space group I4mm (No. 107), with a = 3.127 Å, b = 3.127 Å, c = 16.746 Å, α = 90.00°, β = 90.00° and γ = 90.00°. Symmetry generates all atoms from Ce at (0.000, 0.000, 0.000), Al at (0.000, 0.000, 0.634) and Pb at (0.000, 0.000, 0.803).